{"formula": "PuNiHgO6", "functional": "PBE with a Hubbard U", "state": "relaxed", "dft_energy_ha_per_atom": -0.240, "magmom_total_mub_per_cell": 3.8, "spacegroup": "P-31c, No. 163", "vol_a3_per_atom": 13.54, "cell": [[-0.145, 1.947, -4.972], [-4.441, -0.083, 2.967], [2.141, 8.985, 3.456]], "species": ["Pu", "Pu", "Ni", "Ni", "Hg", "Hg", "O", "O", "O", "O", "O", "O", "O", "O", "O", "O", "O", "O"], "fractional_positions": [[0.667, 0.333, 0.250], [0.333, 0.667, 0.750], [0.333, 0.667, 0.250], [0.667, 0.333, 0.750], [0.000, 0.000, 0.000], [0.000, 0.000, 0.500], [0.645, 0.633, 0.139], [0.989, 0.355, 0.139], [0.355, 0.989, 0.639], [0.011, 0.645, 0.861], [0.367, 0.355, 0.361], [0.989, 0.633, 0.361], [0.633, 0.989, 0.861], [0.645, 0.011, 0.361], [0.011, 0.367, 0.639], [0.367, 0.011, 0.139], [0.633, 0.645, 0.639], [0.355, 0.367, 0.861]]}